# GdZnCdPb

Crystalline GdZnCdPb at its relaxed geometry (PBE, the Alexandria database).

## Properties
The total magnetic moment is 7.0 μB/f.u. The calculation puts the formation energy from the elements at -0.14 eV per atom.

a = 5.198 Å, b = 5.198 Å, c = 5.198 Å
α = 60.00°, β = 60.00°, γ = 60.00°
Sites, in units of the cell vectors:
Cd: 0.250 0.250 0.250
Gd: 0.500 0.500 0.500
Zn: 0.750 0.750 0.750
Pb: 0.000 0.000 0.000